Entry 1:
Below is crystalline AsPbSe2 at its relaxed geometry, with properties calculated at the PBE-GGA level. Values from VASP.

Computed properties:
E_tot   -3.773 eV/atom
Space-group type   Cmmm
D(E_F)   1.66 states/eV/f.u.
Total moment   0.0 μB/f.u.
Formation energy without anion corrections   59.2 meV/atom

Structure (Quantum ESPRESSO input):
```
&SYSTEM
  ibrav = 0, nat = 4, ntyp = 3
/
ATOMIC_SPECIES
As 74.92 As.upf
Pb 207.20 Pb.upf
Se 78.96 Se.upf
CELL_PARAMETERS angstrom
1.968 -3.671 0.000
1.968 3.671 0.000
0.000 0.000 7.980
ATOMIC_POSITIONS angstrom
As 0.000 0.000 0.000
Pb 0.000 0.000 3.990
Se 1.968 0.000 1.764
Se 1.968 0.000 6.216
```



Entry 2:
Below is crystalline NiAgAu3 at its relaxed geometry, with properties calculated at the PBE-GGA level. Values from VASP.

Computed properties:
E_tot   -2.466 eV/atom
Space-group type   Pm-3m
D(E_F)   8.35 states/eV/f.u.
Total moment   0.9 μB/f.u.
Formation enthalpy at 0 K   6.13 eV/f.u.

Structure (Quantum ESPRESSO input):
```
&SYSTEM
  ibrav = 0, nat = 5, ntyp = 3
/
ATOMIC_SPECIES
Ni 58.69 Ni.upf
Ag 107.87 Ag.upf
Au 196.97 Au.upf
CELL_PARAMETERS angstrom
5.063 0.000 0.000
0.000 5.063 0.000
0.000 0.000 5.063
ATOMIC_POSITIONS angstrom
Ni 0.000 0.000 0.000
Ag 2.531 2.531 2.531
Au 0.000 2.531 2.531
Au 2.531 0.000 2.531
Au 2.531 2.531 0.000
```



Entry 3:
Below is crystalline CeLuO at its relaxed geometry, with properties calculated at the PBE-GGA level. Values from VASP.

Computed properties:
E_tot   -6.880 eV/atom
Space-group type   P3m1
D(E_F)   4.76 states/eV/f.u.
Total moment   1.2 μB/f.u.
Formation energy without anion corrections   -1742.8 meV/atom

Structure (Quantum ESPRESSO input):
```
&SYSTEM
  ibrav = 0, nat = 3, ntyp = 3
/
ATOMIC_SPECIES
Ce 140.12 Ce.upf
Lu 174.97 Lu.upf
O 16.00 O.upf
CELL_PARAMETERS angstrom
3.436 0.000 0.000
-1.718 2.975 0.000
0.000 0.000 5.982
ATOMIC_POSITIONS angstrom
Ce 0.000 0.000 0.000
Lu 0.000 1.983 2.814
O 1.718 0.992 1.654
```



Entry 4:
Below is crystalline Na2PmCuSb2 at its relaxed geometry, with properties calculated at the PBE-GGA level. Values from VASP.

Computed properties:
E_tot   -3.867 eV/atom
Space-group type   Pmc2_1
D(E_F)   0.77 states/eV/f.u.
Total moment   0.0 μB/f.u.
Formation energy without anion corrections   -578.3 meV/atom

Structure (Quantum ESPRESSO input):
```
&SYSTEM
  ibrav = 0, nat = 12, ntyp = 4
/
ATOMIC_SPECIES
Na 22.99 Na.upf
Pm 145.00 Pm.upf
Cu 63.55 Cu.upf
Sb 121.76 Sb.upf
CELL_PARAMETERS angstrom
4.579 0.000 0.000
0.000 8.880 0.000
0.000 0.000 7.668
ATOMIC_POSITIONS angstrom
Na 0.000 0.776 0.000
Na 0.000 8.104 3.834
Na 2.289 1.282 2.538
Na 2.289 7.598 6.372
Pm 2.289 4.107 7.604
Pm 2.289 4.773 3.770
Cu 0.000 2.987 4.927
Cu 0.000 5.893 1.093
Sb 0.000 3.320 2.056
Sb 0.000 5.560 5.890
Sb 2.289 1.705 5.566
Sb 2.289 7.175 1.732
```



Which value of total moment does entry 2 give?
0.9 μB/f.u.



Repeat the third record exactly.
Below is crystalline CeLuO at its relaxed geometry, with properties calculated at the PBE-GGA level. Values from VASP.

Computed properties:
E_tot   -6.880 eV/atom
Space-group type   P3m1
D(E_F)   4.76 states/eV/f.u.
Total moment   1.2 μB/f.u.
Formation energy without anion corrections   -1742.8 meV/atom

Structure (Quantum ESPRESSO input):
```
&SYSTEM
  ibrav = 0, nat = 3, ntyp = 3
/
ATOMIC_SPECIES
Ce 140.12 Ce.upf
Lu 174.97 Lu.upf
O 16.00 O.upf
CELL_PARAMETERS angstrom
3.436 0.000 0.000
-1.718 2.975 0.000
0.000 0.000 5.982
ATOMIC_POSITIONS angstrom
Ce 0.000 0.000 0.000
Lu 0.000 1.983 2.814
O 1.718 0.992 1.654
```



D(E_F) of number 1 (AsPbSe2)?
1.66 states/eV/f.u.



What is the total moment in the first record?
0.0 μB/f.u.